Record 1
Compound: CaSnHg2Bi
Source: the Alexandria database
Functional: PBE-GGA
Structure: optimized geometry

- ΔE_f: -0.276 eV/atom
- Crystal system: monoclinic

Unit cell a=7.929 b=4.403 c=7.951 alpha=90.00 beta=90.68 gamma=90.00
Space group P2_1/m (No. 11)
Symmetry-distinct sites (fractional):
Ca: 0.242 0.250 0.228 [2 per cell]
Sn: 0.368 0.750 0.543 [2 per cell]
Hg: 0.165 0.750 0.940 [2 per cell]
Hg: 0.462 0.250 0.851 [2 per cell]
Bi: 0.080 0.250 0.644 [2 per cell]


Record 2
Compound: Pr4HoIn
Source: the Alexandria database
Functional: PBE-GGA
Structure: optimized geometry

- E above lowest polymorph: 0 meV per atom
- ΔE_f: -0.060 eV/atom
- Crystal system: orthorhombic

Unit cell a=3.636 b=30.982 c=7.033 alpha=90.00 beta=90.00 gamma=90.00
Space group Cmcm (No. 63)
Symmetry-distinct sites (fractional):
Pr: 0.000 0.000 0.000 [4 per cell]
Pr: 0.000 0.159 0.009 [8 per cell]
Pr: 0.000 0.418 0.250 [4 per cell]
Ho: 0.000 0.257 0.250 [4 per cell]
In: 0.000 0.420 0.750 [4 per cell]


Record 3
Compound: Tb2PrNpAs4
Source: the Alexandria database
Functional: PBE-GGA
Structure: optimized geometry

- ΔE_f: -1.299 eV/atom
- Crystal system: monoclinic

Unit cell a=7.221 b=4.168 c=7.231 alpha=90.00 beta=109.33 gamma=90.00
Space group P2/m (No. 10)
Symmetry-distinct sites (fractional):
Tb: 0.000 0.000 0.000 [1 per cell]
Tb: 0.000 0.500 0.500 [1 per cell]
Pr: 0.500 0.000 0.500 [1 per cell]
Np: 0.500 0.500 0.000 [1 per cell]
As: 0.246 0.500 0.240 [2 per cell]
As: 0.249 0.000 0.756 [2 per cell]


Record 4
Compound: YAlSb2
Source: the Alexandria database
Functional: PBE-GGA
Structure: optimized geometry

- Crystal system: trigonal
- Energy relative to the elements, uncorrected: -144 meV/atom

Unit cell a=4.1334 b=4.1334 c=23.2562 alpha=90.00 beta=90.00 gamma=120.00
Space group R3m (No. 160, hexagonal axes)
Symmetry-distinct sites (fractional):
Y: 0.0000 0.0000 0.0000 [3 per cell]
Al: 0.0000 0.0000 0.7506 [3 per cell]
Sb: 0.0000 0.0000 0.2447 [3 per cell]
Sb: 0.0000 0.0000 0.4697 [3 per cell]


no.,total energy (eV/atom)
1,-2.3737
2,-4.4660
3,-6.9965
4,-4.7573